[1]
Computed, not measured: a relaxed LiReS3 crystal at the PBE level of DFT.

The calculation puts the total magnetic moment at 0.00 Bohr magnetons per cell. The value obtained for the excess energy over the best structure of this formula in the dataset is 1516 meV/atom. The value obtained for the energy relative to the elements, uncorrected is 1.1295 eV/atom. Its density is 6.49 g/cm3.

The structure belongs to space group Pm-3m (No. 221); the cell edges are 4.200, 4.200 and 4.200 Å and the angles 90.00°, 90.00° and 90.00°. The asymmetric unit holds Li at (0.000, 0.000, 0.000), Re at (0.500, 0.500, 0.500) and S at (0.000, 0.000, 0.500).

=====

[2]
Computed, not measured: a relaxed Li2BeRu crystal at the PBE level of DFT.

The calculation puts the total magnetic moment at 0.00 Bohr magnetons per cell. The calculated total energy comes out at -3.7697 eV/atom. Its density is 4.26 g/cm3.

The structure belongs to space group I-42d (No. 122); the cell edges are 6.568, 6.568 and 4.476 Å and the angles 90.00°, 90.00° and 90.00°. The asymmetric unit holds Li at (0.226, 0.250, 0.125), Be at (0.000, 0.000, 0.000) and Ru at (0.000, 0.000, 0.500).

=====

[3]
Computed, not measured: a relaxed PrHo2Cd2 crystal at the PBE level of DFT.

The calculation puts the total magnetic moment at 0.00 Bohr magnetons per cell. The value obtained for the excess energy over the best structure of this formula in the dataset is 0 meV/atom. Its density is 8.18 g/cm3.

The structure belongs to space group P2_1/m (No. 11); the cell edges are 3.748, 5.441 and 13.969 Å and the angles 90.00°, 97.73° and 90.00°. The asymmetric unit holds Pr at (0.149, 0.250, 0.296), Ho at (0.047, 0.750, 0.094), Ho at (0.236, 0.750, 0.473), Cd at (0.358, 0.250, 0.717) and Cd at (0.453, 0.750, 0.906).

=====

[4]
Computed, not measured: a relaxed VTc2Sb crystal at the PBE level of DFT.

The calculation puts the total magnetic moment at 0.00 Bohr magnetons per cell. The value obtained for the energy relative to the elements, uncorrected is -0.0342 eV/atom. Its density is 9.83 g/cm3.

The structure belongs to space group P4/mmm (No. 123); the cell edges are 3.156, 3.156 and 6.256 Å and the angles 90.00°, 90.00° and 90.00°. The asymmetric unit holds V at (0.000, 0.000, 0.000), Tc at (0.500, 0.500, 0.236) and Sb at (0.000, 0.000, 0.500).

=====

[5]
Computed, not measured: a relaxed Dy3Tl4BiS8 crystal at the PBE level of DFT.

The calculation puts the total magnetic moment at 0.00 Bohr magnetons per cell. The value obtained for the energy relative to the elements, uncorrected is -1.2216 eV/atom. Its density is 6.85 g/cm3.

The structure belongs to space group R-3m (No. 166, hexagonal axes); the cell edges are 8.1280, 8.1280 and 22.4998 Å and the angles 90.00°, 90.00° and 120.00°. The asymmetric unit holds Dy at (0.0000, 0.5000, 0.0000), Tl at (0.0000, 0.0000, 0.5000), Tl at (0.0000, 0.5000, 0.5000), Bi at (0.0000, 0.0000, 0.0000), S at (0.0000, 0.0000, 0.2677) and S at (0.0077, 0.5038, 0.2663).

=====

[6]
Computed, not measured: a relaxed BaSn2Br2 crystal at the PBE level of DFT.

The calculation puts the total magnetic moment at 0.00 Bohr magnetons per cell. The value obtained for the excess energy over the best structure of this formula in the dataset is 64 meV/atom. The value obtained for the energy relative to the elements, uncorrected is -0.4903 eV/atom. Its density is 4.92 g/cm3.

The structure belongs to space group I4/mmm (No. 139); the cell edges are 5.381, 5.381 and 12.472 Å and the angles 90.00°, 90.00° and 90.00°. The asymmetric unit holds Ba at (0.000, 0.000, 0.000), Sn at (0.000, 0.000, 0.392) and Br at (0.000, 0.500, 0.250).

=====

[7]
Computed, not measured: a relaxed KSbSe crystal at the PBE level of DFT.

The calculation puts the total magnetic moment at 0.00 Bohr magnetons per cell. The value obtained for the excess energy over the best structure of this formula in the dataset is 20 meV/atom. The value obtained for the energy relative to the elements, uncorrected is -0.6680 eV/atom. Its density is 3.70 g/cm3.

The structure belongs to space group C2/m (No. 12); the cell edges are 11.835, 4.449 and 8.289 Å and the angles 90.00°, 99.58° and 90.00°. The asymmetric unit holds K at (0.106, 0.000, 0.351), Sb at (0.166, 0.500, 0.983) and Se at (0.110, 0.500, 0.671).

=====

[8]
Computed, not measured: a relaxed DySiH crystal at the PBE level of DFT.

The calculation puts the total magnetic moment at 0.00 Bohr magnetons per cell. The value obtained for the excess energy over the best structure of this formula in the dataset is 490 meV/atom. Its density is 6.71 g/cm3.

The structure belongs to space group I4/mmm (No. 139); the cell edges are 3.162, 3.162 and 18.978 Å and the angles 90.00°, 90.00° and 90.00°. The asymmetric unit holds Dy at (0.000, 0.000, 0.164), Si at (0.000, 0.000, 0.439) and H at (0.000, 0.000, 0.287).